1.
This record from Alexandria describes a geometry-optimized TaNb2Pt structure. The functional is PBE-GGA. Values from VASP.

The structure in Quantum ESPRESSO input format:
```
&SYSTEM
  ibrav = 0, nat = 4, ntyp = 3
/
ATOMIC_SPECIES
Nb 92.91 Nb.upf
Ta 180.95 Ta.upf
Pt 195.08 Pt.upf
CELL_PARAMETERS angstrom
3.339 0.000 0.000
0.000 3.339 0.000
0.000 0.000 6.299
ATOMIC_POSITIONS angstrom
Nb 1.670 1.670 1.549
Ta 1.670 1.670 4.725
Pt 0.000 0.000 3.172
Nb 0.000 0.000 0.002
```

Computed properties:
DFT total energy ... -9.83 eV/atom
Formation energy ... -0.3178 eV/atom
Fermi-level density of states ... 1.12 states/eV per atom
Crystal system ... tetragonal
Size of the total moment ... 0.00 μB/f.u.
Energy above the most stable polymorph in this dataset ... 0 meV per atom

---

2.
This record from Alexandria describes a geometry-optimized Ho4Er3Tm8 structure. The functional is PBE-GGA. Values from VASP.

The structure in Quantum ESPRESSO input format:
```
&SYSTEM
  ibrav = 0, nat = 15, ntyp = 3
/
ATOMIC_SPECIES
Er 167.26 Er.upf
Tm 168.93 Tm.upf
Ho 164.93 Ho.upf
CELL_PARAMETERS angstrom
5.997 0.000 3.234
2.126 5.607 3.234
-2.510 -1.733 11.831
ATOMIC_POSITIONS angstrom
Er -0.192 1.937 7.533
Er 1.743 -0.866 7.533
Tm 3.164 0.103 12.095
Er -1.255 -0.866 5.916
Tm 4.395 0.953 6.205
Ho 5.365 3.704 4.406
Ho 0.000 0.000 0.000
Ho 2.807 1.937 9.150
Ho 0.248 0.171 13.894
Tm 0.150 0.103 10.469
Tm 1.323 0.913 4.723
Tm 2.449 3.771 6.205
Tm 4.290 2.961 13.576
Tm 1.218 2.921 12.095
Tm 5.463 3.771 7.831
```

Computed properties:
DFT total energy ... -4.37 eV/atom
Formation energy ... 0.1464 eV/atom
Fermi-level density of states ... 1.48 states/eV per atom
Crystal system ... trigonal
Size of the total moment ... 0.00 μB/f.u.
Energy above the most stable polymorph in this dataset ... 0 meV per atom

---

3.
This record from Alexandria describes a geometry-optimized Nd6Sm2Al structure. The functional is PBE-GGA. Values from VASP.

The structure in Quantum ESPRESSO input format:
```
&SYSTEM
  ibrav = 0, nat = 18, ntyp = 3
/
ATOMIC_SPECIES
Nd 144.24 Nd.upf
Al 26.98 Al.upf
Sm 150.36 Sm.upf
CELL_PARAMETERS angstrom
5.513 0.000 0.274
0.000 10.308 0.000
-0.522 0.000 10.478
ATOMIC_POSITIONS angstrom
Nd -0.231 3.211 4.658
Nd 2.554 8.979 4.190
Nd 2.437 1.329 6.562
Nd -0.423 9.999 8.492
Nd 5.050 6.483 9.566
Nd 2.727 8.365 0.718
Al 2.757 5.154 0.137
Sm 2.375 8.172 7.796
Sm 5.392 7.290 2.694
Nd 2.265 1.943 10.034
Nd 2.397 4.845 7.362
Nd -0.058 3.825 1.186
Sm -0.401 3.018 8.058
Nd 2.595 5.463 3.390
Nd 5.223 7.097 6.093
Sm 2.617 2.136 2.956
Nd 5.414 0.309 2.260
Al -0.261 0.000 5.239
```

Computed properties:
DFT total energy ... -4.65 eV/atom
Formation energy ... -0.0078 eV/atom
Fermi-level density of states ... 1.38 states/eV per atom
Crystal system ... orthorhombic
Size of the total moment ... 0.00 μB/f.u.

---

It is found that the calculated density values, taken in the order of the records, are 13.28; 8.97; 6.64 g cm⁻³.